Entry 1:
Entry from Alexandria: a crystal of MgIrSe2N relaxed with PBEsol (SCAN).

Structure (extended XYZ):
```
5
Lattice="4.876 0.000 0.000 0.000 4.876 0.000 0.000 0.000 3.685" Properties=species:S:1:pos:R:3 pbc="T T T"
Mg 0.000 0.000 0.000
Ir 2.438 2.438 1.843
Se 0.000 2.438 0.000
Se 2.438 0.000 0.000
N 0.000 0.000 1.843
```

## Properties
offset from the most stable computed form: 1209.7 meV/atom
DFT total energy: -23.89 eV/atom
calculated volume: 17.52 Å³ per atom
spin magnetization: 2.0 μB per cell
energy relative to the elements, uncorrected: 1218 meV per atom

Entry 2:
Entry from Alexandria: a crystal of Nb2CrRu relaxed with PBEsol (SCAN).

Structure (extended XYZ):
```
4
Lattice="0.000 3.108 3.108 3.108 0.000 3.108 3.108 3.108 0.000" Properties=species:S:1:pos:R:3 pbc="T T T"
Nb 1.554 1.554 1.554
Nb 4.661 4.661 4.661
Cr 0.000 0.000 0.000
Ru 3.108 3.108 3.108
```

## Properties
DFT total energy: -30.07 eV/atom
calculated volume: 15.01 Å³ per atom
energy of formation: -0.8 eV/f.u.
spin magnetization: 0.0 μB per cell

Entry 3:
Entry from Alexandria: a crystal of ZrHg2Pb relaxed with PBEsol (SCAN).

Structure (extended XYZ):
```
4
Lattice="5.671 -1.596 0.000 5.671 1.596 0.000 -2.408 0.000 5.006" Properties=species:S:1:pos:R:3 pbc="T T T"
Zr 0.000 0.000 0.000
Hg 1.745 0.000 2.875
Hg 4.719 0.000 2.428
Pb 8.327 0.000 0.292
```

## Properties
DFT total energy: -60.84 eV/atom
calculated volume: 22.66 Å³ per atom
energy of formation: -0.5 eV/f.u.
spin magnetization: 0.0 μB per cell

Entry 4:
Entry from Alexandria: a crystal of TaFeMoPt2 relaxed with PBEsol (SCAN).

Structure (extended XYZ):
```
5
Lattice="4.516 0.000 0.000 0.000 4.516 0.000 0.000 0.000 4.196" Properties=species:S:1:pos:R:3 pbc="T T T"
Ta 0.000 0.000 0.000
Fe 2.258 2.258 2.098
Mo 2.258 2.258 0.000
Pt 0.000 2.258 2.098
Pt 2.258 0.000 2.098
```

## Properties
DFT total energy: -51.09 eV/atom
calculated volume: 17.12 Å³ per atom
energy of formation: 4.5 eV/f.u.
spin magnetization: 3.0 μB per cell

Entry 5:
Entry from Alexandria: a crystal of ReSb3Pd relaxed with PBEsol (SCAN).

Structure (extended XYZ):
```
5
Lattice="5.029 0.000 0.000 0.000 5.029 0.000 0.000 0.000 5.029" Properties=species:S:1:pos:R:3 pbc="T T T"
Re 0.000 0.000 0.000
Sb 0.000 2.514 2.514
Sb 2.514 0.000 2.514
Sb 2.514 2.514 0.000
Pd 2.514 2.514 2.514
```

## Properties
DFT total energy: -41.76 eV/atom
calculated volume: 25.43 Å³ per atom
spin magnetization: 2.9 μB per cell
energy relative to the elements, uncorrected: 1371 meV per atom

Entry 6:
Entry from Alexandria: a crystal of MnTcIr2 relaxed with PBEsol (SCAN).

Structure (extended XYZ):
```
4
Lattice="-1.888 1.888 3.744 1.888 -1.888 3.744 1.888 1.888 -3.744" Properties=species:S:1:pos:R:3 pbc="T T T"
Mn 0.000 0.000 0.000
Tc 0.000 0.000 3.744
Ir 1.888 0.000 1.872
Ir 0.000 1.888 1.872
```

## Properties
offset from the most stable computed form: 0.0 meV/atom
DFT total energy: -49.24 eV/atom
calculated volume: 13.34 Å³ per atom
energy of formation: -1.4 eV/f.u.
spin magnetization: 2.0 μB per cell

Entry 7:
Entry from Alexandria: a crystal of Mg3AsN relaxed with PBEsol (SCAN).

Structure (extended XYZ):
```
5
Lattice="4.208 0.000 0.000 0.000 4.208 0.000 0.000 0.000 4.208" Properties=species:S:1:pos:R:3 pbc="T T T"
Mg 0.000 0.000 2.104
Mg 0.000 2.104 0.000
Mg 2.104 0.000 0.000
As 2.104 2.104 2.104
N 0.000 0.000 0.000
```

## Properties
DFT total energy: -9.77 eV/atom
calculated volume: 14.90 Å³ per atom
spin magnetization: 0.0 μB per cell
energy relative to the elements, uncorrected: -894 meV per atom

Entry 8:
Entry from Alexandria: a crystal of BaSm4Si3SeO12 relaxed with PBEsol (SCAN).

Structure (extended XYZ):
```
42
Lattice="9.814 0.000 0.000 -4.907 8.499 0.000 0.000 0.000 6.952" Properties=species:S:1:pos:R:3 pbc="T T T"
Ba 0.000 5.666 0.000
Ba 4.907 2.833 3.476
Sm -1.194 2.136 1.780
Sm -2.460 8.465 1.780
Sm 1.253 2.102 5.256
Sm 0.000 5.666 3.488
Sm 4.907 2.833 0.012
Sm 3.654 6.397 1.780
Sm 7.366 0.034 5.256
Sm 6.101 6.362 5.256
Si -2.806 5.330 1.737
Si 1.694 3.404 1.737
Si 3.794 0.235 5.213
Si 1.112 8.264 1.737
Si 3.213 5.095 5.213
Si 7.713 3.168 5.213
Se 0.000 0.000 0.054
Se 0.000 0.000 3.530
O -2.762 6.300 3.062
O -2.627 6.349 0.457
O -1.439 4.414 1.917
O -0.747 4.053 5.029
O 0.722 3.049 0.457
O 0.832 2.957 3.062
O -1.023 7.120 5.029
O 2.977 0.758 6.538
O 3.002 0.899 3.933
O -0.364 7.538 1.917
O 3.136 2.674 1.553
O 1.804 5.045 1.917
O 3.103 3.453 5.393
O 1.770 5.825 5.029
O 5.271 0.961 5.393
O 1.905 7.600 0.457
O 1.930 7.740 3.062
O 5.930 1.379 1.553
O 4.075 5.542 6.538
O 4.185 5.449 3.933
O 5.654 4.446 1.553
O 6.346 4.085 5.393
O 7.534 2.150 3.933
O 7.668 2.199 6.538
```

## Properties
DFT total energy: -19.68 eV/atom
calculated volume: 13.81 Å³ per atom
spin magnetization: 0.0 μB per cell
energy relative to the elements, uncorrected: -3388 meV per atom

Entry 9:
Entry from Alexandria: a crystal of CrIrBr2 relaxed with PBEsol (SCAN).

Structure (extended XYZ):
```
4
Lattice="0.000 3.256 3.256 3.256 0.000 3.256 3.256 3.256 0.000" Properties=species:S:1:pos:R:3 pbc="T T T"
Cr 0.000 0.000 0.000
Ir 3.256 3.256 3.256
Br 1.628 1.628 1.628
Br 4.883 4.883 4.883
```

## Properties
offset from the most stable computed form: 301.2 meV/atom
DFT total energy: -31.27 eV/atom
calculated volume: 17.25 Å³ per atom
spin magnetization: 3.0 μB per cell
energy relative to the elements, uncorrected: 829 meV per atom

Entry 10:
Entry from Alexandria: a crystal of Al2InGe relaxed with PBEsol (SCAN).

Structure (extended XYZ):
```
4
Lattice="0.000 3.383 3.383 3.383 0.000 3.383 3.383 3.383 0.000" Properties=species:S:1:pos:R:3 pbc="T T T"
Al 1.692 1.692 1.692
Al 5.075 5.075 5.075
In 0.000 0.000 0.000
Ge 3.383 3.383 3.383
```

## Properties
DFT total energy: -16.77 eV/atom
calculated volume: 19.36 Å³ per atom
energy of formation: 0.9 eV/f.u.
spin magnetization: 0.0 μB per cell

Entry 11:
Entry from Alexandria: a crystal of HgTeSe relaxed with PBEsol (SCAN).

Structure (extended XYZ):
```
3
Lattice="0.000 3.464 3.464 3.464 0.000 3.464 3.464 3.464 0.000" Properties=species:S:1:pos:R:3 pbc="T T T"
Hg 0.000 0.000 0.000
Te 3.464 3.464 3.464
Se 1.732 1.732 1.732
```

## Properties
offset from the most stable computed form: 423.4 meV/atom
DFT total energy: -41.34 eV/atom
calculated volume: 27.71 Å³ per atom
spin magnetization: 0.0 μB per cell
energy relative to the elements, uncorrected: 492 meV per atom

Entry 12:
Entry from Alexandria: a crystal of CrCdI3 relaxed with PBEsol (SCAN).

Structure (extended XYZ):
```
5
Lattice="5.734 0.000 0.000 0.000 5.734 0.000 0.000 0.000 5.734" Properties=species:S:1:pos:R:3 pbc="T T T"
Cr 0.000 0.000 0.000
Cd 2.867 2.867 2.867
I 0.000 2.867 2.867
I 2.867 0.000 2.867
I 2.867 2.867 0.000
```

## Properties
DFT total energy: -31.72 eV/atom
calculated volume: 37.71 Å³ per atom
spin magnetization: 5.0 μB per cell
energy relative to the elements, uncorrected: 83 meV per atom